Entry 1:
Compound: Er4PdRh2
Source: the Alexandria database
Functional: GGA-PBE
Structure: relaxed

As for the volume: 349 Å³/cell. As for the total energy: -0.454 Ry per atom.

The space group is C2/m (No. 12) and the conventional cell measures 13.794, 4.148 and 7.035 Å, with angles of 90.00, 119.76 and 90.00 degrees. The distinct sites, in fractional coordinates, are Er at (0.125, 0.000, 0.313), Er at (0.139, 0.500, 0.791), Pd at (0.000, 0.500, 0.000) and Rh at (0.238, 0.500, 0.240).

***

Entry 2:
Compound: PmPr10Dy6
Source: the Alexandria database
Functional: GGA-PBE
Structure: relaxed

As for the volume: 595 Å³/cell. As for the total energy: -0.337 Ry per atom.

The space group is P-31m (No. 162) and the conventional cell measures 9.9287, 9.9287 and 6.9748 Å, with angles of 90.00, 90.00 and 120.00 degrees. The distinct sites, in fractional coordinates, are Pm at (0.0000, 0.0000, 0.0000), Pr at (0.0000, 0.2760, 0.3181), Pr at (0.3333, 0.6667, 0.0000), Pr at (0.3333, 0.6667, 0.5000) and Dy at (0.0000, 0.3695, 0.8111).

***

Entry 3:
Compound: BaThGe3
Source: the Alexandria database
Functional: GGA-PBE
Structure: relaxed

As for the volume: 554 Å³/cell. As for the total energy: -0.382 Ry per atom.

The space group is Cmcm (No. 63) and the conventional cell measures 4.633, 28.826 and 4.150 Å, with angles of 90.00, 90.00 and 90.00 degrees. The distinct sites, in fractional coordinates, are Ba at (0.000, 0.077, 0.250), Th at (0.000, 0.205, 0.750), Ge at (0.000, 0.311, 0.750), Ge at (0.000, 0.368, 0.250) and Ge at (0.000, 0.476, 0.250).

***

Entry 4:
Compound: CsNaIn3
Source: the Alexandria database
Functional: GGA-PBE
Structure: relaxed

As for the volume: 282 Å³/cell. As for the total energy: -0.093 Ry per atom.

The space group is Pm-3m (No. 221) and the conventional cell measures 6.559, 6.559 and 6.559 Å, with angles of 90.00, 90.00 and 90.00 degrees. The distinct sites, in fractional coordinates, are Cs at (0.000, 0.000, 0.000), Na at (0.500, 0.500, 0.500) and In at (0.000, 0.000, 0.500).